No. 1
An optimized crystal structure of Mg6Bi2Sb, computed with GGA-PBE.

Values from the calculation:
E_tot	-45.20	eV for the cell shown
SG	P2_1/c
Fermi-level density of states	5.91	states/eV/cell
M_tot	0.00	μB per cell
relative energy among the computed polymorphs	0	meV/atom
V	26.897	A^3/atom
formation energy from raw total energies	-0.128	eV/atom

POSCAR file:
```
Mg6Bi2Sb
1.0
7.370 0.000 0.000
0.000 6.476 0.000
-5.824 0.000 10.143
Mg Bi Sb
12 4 2
Cartesian
-1.446 1.524 4.500
-4.359 1.714 9.571
-4.350 4.747 9.569
-1.438 4.968 4.497
1.106 3.247 2.201
-1.806 6.468 7.272
3.352 0.008 2.871
0.440 3.230 7.942
2.984 1.509 5.645
5.896 1.730 0.574
5.905 4.762 0.571
2.992 4.952 5.643
0.285 0.008 2.364
-2.628 3.230 7.436
4.174 3.246 2.707
1.261 6.469 7.778
3.685 0.000 0.000
0.773 3.238 5.071
```

No. 2
An optimized crystal structure of Mg4Bi2Sb, computed with GGA-PBE.

Values from the calculation:
E_tot	-38.45	eV for the cell shown
SG	I4_1/amd
Fermi-level density of states	5.45	states/eV/cell
M_tot	0.00	μB per cell
V	32.875	A^3/atom
formation energy from raw total energies	-0.137	eV/atom

POSCAR file:
```
Mg4Bi2Sb
1.0
-4.358 4.358 6.058
4.358 -4.358 6.058
4.358 4.358 -6.058
Mg Bi Sb
8 4 2
Cartesian
2.314 2.179 0.026
6.402 2.179 0.026
4.358 0.135 3.003
0.000 0.135 3.055
4.358 4.223 3.003
0.000 4.223 3.055
-2.044 2.179 6.032
2.044 2.179 6.032
4.358 0.000 0.000
-2.179 2.179 3.029
0.000 0.000 6.058
2.179 2.179 3.029
4.358 -2.179 4.543
0.000 6.537 1.514
```

No. 3
An optimized crystal structure of MgBi3Sb, computed with GGA-PBE.

Values from the calculation:
E_tot	-14.67	eV for the cell shown
SG	Pm-3m
Fermi-level density of states	4.72	states/eV/cell
M_tot	0.00	μB per cell
relative energy among the computed polymorphs	0	meV/atom
V	33.388	A^3/atom
formation energy from raw total energies	0.538	eV/atom

POSCAR file:
```
MgBi3Sb
1.0
5.506 0.000 0.000
0.000 5.506 0.000
0.000 0.000 5.506
Mg Bi Sb
1 3 1
Cartesian
0.000 0.000 0.000
0.000 0.000 2.753
0.000 2.753 0.000
2.753 0.000 0.000
2.753 2.753 2.753
```

No. 4
An optimized crystal structure of MgBi2Sb2, computed with GGA-PBE.

Values from the calculation:
E_tot	-33.49	eV for the cell shown
SG	I4/mmm
Fermi-level density of states	3.34	states/eV/cell
M_tot	0.00	μB per cell
relative energy among the computed polymorphs	74	meV/atom
V	31.452	A^3/atom
formation energy from raw total energies	0.172	eV/atom

POSCAR file:
```
MgBi2Sb2
1.0
4.281 0.000 0.000
0.000 4.281 0.000
0.000 0.000 17.159
Mg Bi Sb
2 4 4
Cartesian
0.000 0.000 0.000
2.141 2.141 8.580
0.000 0.000 7.016
0.000 0.000 10.144
2.141 2.141 1.564
2.141 2.141 15.595
0.000 2.141 4.290
0.000 2.141 12.869
2.141 0.000 4.290
2.141 0.000 12.869
```

No. 5
An optimized crystal structure of Mg3BiSb, computed with GGA-PBE.

Values from the calculation:
E_tot	-28.33	eV for the cell shown
SG	P-1
Fermi-level density of states	0.07	states/eV/cell
M_tot	0.00	μB per cell
relative energy among the computed polymorphs	0	meV/atom
V	31.593	A^3/atom
formation energy from raw total energies	-0.275	eV/atom

POSCAR file:
```
Mg3BiSb
1.0
4.726 0.000 0.000
-2.311 8.064 0.000
-0.004 -1.447 8.290
Mg Bi Sb
6 2 2
Cartesian
0.038 0.700 1.663
0.035 2.150 4.775
0.002 3.702 7.768
2.409 2.915 0.522
2.375 4.467 3.515
2.373 5.917 6.627
0.045 0.682 7.311
2.366 5.935 0.979
0.014 5.025 5.158
2.397 1.592 3.132
```

No. 6
An optimized crystal structure of MgBiSb3, computed with GGA-PBE.

Values from the calculation:
E_tot	-15.35	eV for the cell shown
SG	Pm-3m
Fermi-level density of states	4.70	states/eV/cell
M_tot	0.00	μB per cell
relative energy among the computed polymorphs	0	meV/atom
V	31.217	A^3/atom
formation energy from raw total energies	0.499	eV/atom

POSCAR file:
```
MgBiSb3
1.0
5.384 0.000 0.000
0.000 5.384 0.000
0.000 0.000 5.384
Mg Bi Sb
1 1 3
Cartesian
0.000 0.000 0.000
2.692 2.692 2.692
0.000 0.000 2.692
0.000 2.692 0.000
2.692 0.000 0.000
```